Model A:
Below is an optimized crystal structure of TmAlMo, with properties calculated at the PBE level.

Lattice parameters (Å, degrees): 4.7137 4.7137 9.2574 90.00 90.00 120.00
Last column: nearest neighbours and their distance in Å.
Fractional positions:
Tm1 0.0000 0.0000 0.0000  6 Al 3.06-3.13, 2 Tm 3.08-3.09, 6 Mo 3.12-3.28
Tm2 0.0000 0.0000 0.3327  6 Al 3.06-3.13, 2 Tm 3.08-3.09, 6 Mo 3.13-3.29
Tm3 0.0000 0.0000 0.6663  6 Mo 2.99-3.00, 2 Tm 3.09, 6 Al 3.20-3.21
Al1 0.3333 0.6667 0.4833  4 Mo 2.76-2.94, 3 Tm 3.06
Al2 0.3333 0.6667 0.8490  4 Mo 2.75-2.93, 3 Tm 3.06
Al3 0.6667 0.3333 0.1661  3 Mo 2.72
Mo1 0.3333 0.6667 0.1659  5 Al 2.72-2.94
Mo2 0.6667 0.3333 0.5317  1 Mo 2.51, 3 Al 2.76
Mo3 0.6667 0.3333 0.8029  1 Mo 2.51, 3 Al 2.75

Results
Crystal system = trigonal
Symmetry = No. 156

Model B:
Below is an optimized crystal structure of TmAlMo, with properties calculated at the PBE level.

Lattice parameters (Å, degrees): 6.4546 6.4546 6.4546 90.00 90.00 90.00
Last column: nearest neighbours and their distance in Å.
Fractional positions:
Tm1 0.0000 0.0000 0.0000  4 Mo 2.79
Tm2 0.0000 0.5000 0.5000  4 Mo 2.79
Tm3 0.5000 0.0000 0.5000  4 Mo 2.79
Tm4 0.5000 0.5000 0.0000  4 Mo 2.79
Al1 0.0000 0.0000 0.5000  4 Mo 2.79
Al2 0.0000 0.5000 0.0000  4 Mo 2.79
Al3 0.5000 0.0000 0.0000  4 Mo 2.79
Al4 0.5000 0.5000 0.5000  4 Mo 2.79
Mo1 0.2500 0.2500 0.7500  4 Tm 2.79, 4 Al 2.79
Mo2 0.2500 0.7500 0.2500  4 Tm 2.79, 4 Al 2.79
Mo3 0.7500 0.2500 0.2500  4 Tm 2.79, 4 Al 2.79
Mo4 0.7500 0.7500 0.7500  4 Al 2.79, 4 Tm 2.79

Results
Crystal system = cubic
Symmetry = No. 216

Model C:
Below is an optimized crystal structure of TmAlMo, with properties calculated at the PBE level.

Lattice parameters (Å, degrees): 6.6866 6.6866 6.6866 90.00 90.00 90.00
Last column: nearest neighbours and their distance in Å.
Fractional positions:
Tm1 0.0000 0.0000 0.0000  4 Mo 2.90, 4 Al 2.90
Tm2 0.0000 0.5000 0.5000  4 Mo 2.90, 4 Al 2.90
Tm3 0.5000 0.0000 0.5000  4 Mo 2.90, 4 Al 2.90
Tm4 0.5000 0.5000 0.0000  4 Mo 2.90, 4 Al 2.90
Al1 0.2500 0.2500 0.7500  4 Tm 2.90
Al2 0.2500 0.7500 0.2500  4 Tm 2.90
Al3 0.7500 0.2500 0.2500  4 Tm 2.90
Al4 0.7500 0.7500 0.7500  4 Tm 2.90
Mo1 0.2500 0.2500 0.2500  4 Tm 2.90
Mo2 0.2500 0.7500 0.7500  4 Tm 2.90
Mo3 0.7500 0.2500 0.7500  4 Tm 2.90
Mo4 0.7500 0.7500 0.2500  4 Tm 2.90

Results
Crystal system = cubic
Symmetry = No. 216

Computed stability ranking, most favorable first: model A, model B, model C

Model A:
Below is an optimized crystal structure of UAlMo, with properties calculated at the PBE level.

Lattice parameters (Å, degrees): 6.3816 6.3816 6.3816 90.00 90.00 90.00
Last column: nearest neighbours and their distance in Å.
Fractional positions:
U1 0.0000 0.0000 0.0000  4 Mo 2.76, 4 Al 2.76
U2 0.0000 0.5000 0.5000  4 Al 2.76, 4 Mo 2.76
U3 0.5000 0.0000 0.5000  4 Al 2.76, 4 Mo 2.76
U4 0.5000 0.5000 0.0000  4 Al 2.76, 4 Mo 2.76
Al1 0.2500 0.2500 0.7500  4 U 2.76
Al2 0.2500 0.7500 0.2500  4 U 2.76
Al3 0.7500 0.2500 0.2500  4 U 2.76
Al4 0.7500 0.7500 0.7500  4 U 2.76
Mo1 0.2500 0.2500 0.2500  4 U 2.76
Mo2 0.2500 0.7500 0.7500  4 U 2.76
Mo3 0.7500 0.2500 0.7500  4 U 2.76
Mo4 0.7500 0.7500 0.2500  4 U 2.76

Results
Crystal system = cubic
Symmetry = No. 216

Model B:
Below is an optimized crystal structure of UAlMo, with properties calculated at the PBE level.

Lattice parameters (Å, degrees): 6.3320 6.3320 6.3320 90.00 90.00 90.00
Last column: nearest neighbours and their distance in Å.
Fractional positions:
U1 0.0000 0.0000 0.0000  4 Mo 2.74
U2 0.0000 0.5000 0.5000  4 Mo 2.74
U3 0.5000 0.0000 0.5000  4 Mo 2.74
U4 0.5000 0.5000 0.0000  4 Mo 2.74
Al1 0.0000 0.0000 0.5000  4 Mo 2.74
Al2 0.0000 0.5000 0.0000  4 Mo 2.74
Al3 0.5000 0.0000 0.0000  4 Mo 2.74
Al4 0.5000 0.5000 0.5000  4 Mo 2.74
Mo1 0.2500 0.2500 0.7500  4 U 2.74, 4 Al 2.74
Mo2 0.2500 0.7500 0.2500  4 Al 2.74, 4 U 2.74
Mo3 0.7500 0.2500 0.2500  4 Al 2.74, 4 U 2.74
Mo4 0.7500 0.7500 0.7500  4 U 2.74, 4 Al 2.74

Results
Crystal system = cubic
Symmetry = No. 216

Computed stability ranking, most favorable first: model B, model A

Model A:
Below is an optimized crystal structure of NdAlNO, with properties calculated at the PBE level.

Lattice parameters (Å, degrees): 3.6344 5.3600 5.5787 90.00 90.00 90.00
Last column: nearest neighbours and their distance in Å.
Fractional positions:
Nd1 0.0000 0.2274 0.0000  1 O 2.42, 4 N 2.59-2.60
Nd2 0.0000 0.7726 0.5000  1 O 2.42, 4 N 2.59-2.60
Al1 0.5000 0.2335 0.4983  2 N 1.87-1.88, 2 O 1.88
Al2 0.5000 0.7665 0.9983  2 N 1.87-1.88, 2 O 1.88
N1 0.5000 0.0023 0.7498  2 Al 1.87-1.88
N2 0.5000 0.9977 0.2498  2 Al 1.87-1.88
O1 0.0000 0.3213 0.4949  2 Al 1.88
O2 0.0000 0.6787 0.9949  2 Al 1.88

Results
Crystal system = orthorhombic
Symmetry = No. 26

Model B:
Below is an optimized crystal structure of NdAlNO, with properties calculated at the PBE level.

Lattice parameters (Å, degrees): 5.3114 7.9999 5.1129 90.00 90.00 90.00
Last column: nearest neighbours and their distance in Å.
Fractional positions:
Nd1 0.0125 0.1353 0.0000  5 N 2.46-2.69, 1 O 2.75
Nd2 0.4875 0.1353 0.5000  5 N 2.46-2.69, 1 O 2.75
Nd3 0.5125 0.8647 0.0000  5 N 2.46-2.69, 1 O 2.75
Nd4 0.9875 0.8647 0.5000  5 N 2.46-2.69, 1 O 2.75
Al1 0.0705 0.6089 0.0303  1 N 1.79, 3 O 1.80-1.86
Al2 0.4295 0.6089 0.5303  1 N 1.79, 3 O 1.80-1.86
Al3 0.5705 0.3911 0.0303  1 N 1.79, 3 O 1.80-1.86
Al4 0.9295 0.3911 0.5303  1 N 1.79, 3 O 1.80-1.86
N1 0.0081 0.8283 0.0010  1 Al 1.79
N2 0.4919 0.8283 0.5010  1 Al 1.79
N3 0.5081 0.1717 0.0010  1 Al 1.79
N4 0.9919 0.1717 0.5010  1 Al 1.79
O1 0.1289 0.5443 0.3748  3 Al 1.80-1.86
O2 0.3711 0.5443 0.8748  3 Al 1.80-1.86
O3 0.6289 0.4557 0.3748  3 Al 1.80-1.86
O4 0.8711 0.4557 0.8748  3 Al 1.80-1.86

Results
Crystal system = orthorhombic
Symmetry = No. 29

Model C:
Below is an optimized crystal structure of NdAlNO, with properties calculated at the PBE level.

Lattice parameters (Å, degrees): 3.4546 5.9148 5.3923 90.00 90.00 90.00
Last column: nearest neighbours and their distance in Å.
Fractional positions:
Nd1 0.0000 0.2159 0.0000  1 N 2.30
Nd2 0.0000 0.7841 0.5000  1 N 2.30
Al1 0.5000 0.2956 0.5004  2 O 1.81, 2 N 1.87
Al2 0.5000 0.7044 0.0004  2 O 1.81, 2 N 1.87
N1 0.0000 0.1724 0.4993  2 Al 1.87
N2 0.0000 0.8276 0.9993  2 Al 1.87
O1 0.5000 0.4973 0.7531  2 Al 1.81
O2 0.5000 0.5027 0.2531  2 Al 1.81

Results
Crystal system = orthorhombic
Symmetry = No. 26

Computed stability ranking, most favorable first: model C, model B, model A

Model A:
Below is an optimized crystal structure of NdAlNO, with properties calculated at the PBE level.

Lattice parameters (Å, degrees): 7.5685 9.0553 3.4892 90.00 90.03 90.00
Last column: nearest neighbours and their distance in Å.
Fractional positions:
Nd1 0.0000 0.1923 0.0000  2 O 2.34, 2 N 2.39
Nd2 0.0000 0.8077 0.0000  2 O 2.34, 2 N 2.39
Nd3 0.5000 0.3077 0.0000  2 O 2.34, 2 N 2.39
Nd4 0.5000 0.6923 0.0000  2 O 2.34, 2 N 2.39
Al1 0.1823 0.5000 0.5007  2 O 1.84, 2 N 1.90
Al2 0.3177 0.0000 0.4993  2 O 1.84, 2 N 1.90
Al3 0.6823 0.0000 0.5007  2 O 1.84, 2 N 1.90
Al4 0.8177 0.5000 0.4993  2 O 1.84, 2 N 1.90
N1 0.2170 0.0000 0.9990  2 Al 1.90
N2 0.2830 0.5000 0.0010  2 Al 1.90
N3 0.7170 0.5000 0.9990  2 Al 1.90
N4 0.7830 0.0000 0.0010  2 Al 1.90
O1 0.0000 0.3649 0.5000  2 Al 1.84
O2 0.0000 0.6351 0.5000  2 Al 1.84
O3 0.5000 0.1351 0.5000  2 Al 1.84
O4 0.5000 0.8649 0.5000  2 Al 1.84

Results
Crystal system = monoclinic
Symmetry = No. 12

Model B:
Below is an optimized crystal structure of NdAlNO, with properties calculated at the PBE level.

Lattice parameters (Å, degrees): 4.5308 4.5308 5.4809 90.00 90.00 90.00
Last column: nearest neighbours and their distance in Å.
Fractional positions:
Nd1 0.2500 0.7500 0.0000  4 N 2.40
Nd2 0.7500 0.2500 0.0000  4 N 2.40
Al1 0.2500 0.2500 0.4778  1 N 1.81
Al2 0.7500 0.7500 0.5222  1 N 1.81
N1 0.2500 0.2500 0.1473  1 Al 1.81
N2 0.7500 0.7500 0.8527  1 Al 1.81
O1 0.2500 0.7500 0.5000  4 Al 2.27
O2 0.7500 0.2500 0.5000  4 Al 2.27

Results
Crystal system = tetragonal
Symmetry = No. 129

Computed stability ranking, most favorable first: model A, model B

Model A:
Below is an optimized crystal structure of AlPdNO, with properties calculated at the PBE level.

Lattice parameters (Å, degrees): 3.8726 3.8726 6.3146 90.00 90.00 90.00
Last column: nearest neighbours and their distance in Å.
Fractional positions:
Al1 0.2500 0.7500 0.0000  4 N 1.95
Al2 0.7500 0.2500 0.0000  4 N 1.95
Pd1 0.2500 0.2500 0.3963  4 O 2.04
Pd2 0.7500 0.7500 0.6037  4 O 2.04
N1 0.2500 0.2500 0.9677  4 Al 1.95
N2 0.7500 0.7500 0.0323  4 Al 1.95
O1 0.2500 0.7500 0.5000  4 Pd 2.04
O2 0.7500 0.2500 0.5000  4 Pd 2.04

Results
Crystal system = tetragonal
Symmetry = No. 129

Model B:
Below is an optimized crystal structure of AlPdNO, with properties calculated at the PBE level.

Lattice parameters (Å, degrees): 3.6594 3.6594 7.3949 90.00 90.00 90.00
Last column: nearest neighbours and their distance in Å.
Fractional positions:
Al1 0.2500 0.2500 0.0925  1 N 1.82, 4 O 1.95
Al2 0.7500 0.7500 0.9075  1 N 1.82, 4 O 1.95
Pd1 0.2500 0.7500 0.5000  4 N 2.19
Pd2 0.7500 0.2500 0.5000  4 N 2.19
N1 0.2500 0.2500 0.3383  1 Al 1.82
N2 0.7500 0.7500 0.6617  1 Al 1.82
O1 0.2500 0.7500 0.0000  4 Al 1.95
O2 0.7500 0.2500 0.0000  4 Al 1.95

Results
Crystal system = tetragonal
Symmetry = No. 129

Computed stability ranking, most favorable first: model B, model A

Model A:
Below is an optimized crystal structure of AlPdNO, with properties calculated at the PBE level.

Lattice parameters (Å, degrees): 3.1951 6.1819 4.8453 90.00 90.00 90.00
Last column: nearest neighbours and their distance in Å.
Fractional positions:
Al1 0.0000 0.1490 0.0000  2 O 1.76-1.77, 2 N 1.87
Al2 0.0000 0.8510 0.5000  2 O 1.76-1.77, 2 N 1.87
Pd1 0.5000 0.4022 0.5105  2 N 2.01
Pd2 0.5000 0.5978 0.0105  2 N 2.01
N1 0.5000 0.2856 0.8978  2 Al 1.87, 2 Pd 2.01
N2 0.5000 0.7144 0.3978  2 Al 1.87, 2 Pd 2.01
O1 0.0000 0.1156 0.3615  2 Al 1.76-1.77
O2 0.0000 0.8844 0.8615  2 Al 1.76-1.77

Results
Crystal system = orthorhombic
Symmetry = No. 26

Model B:
Below is an optimized crystal structure of AlPdNO, with properties calculated at the PBE level.

Lattice parameters (Å, degrees): 2.9333 5.8487 5.6011 90.00 90.00 90.00
Last column: nearest neighbours and their distance in Å.
Fractional positions:
Al1 0.0000 0.1070 0.0000  2 O 1.76, 2 N 1.88-1.90
Al2 0.0000 0.8930 0.5000  2 O 1.76, 2 N 1.88-1.90
Pd1 0.5000 0.4102 0.6303  2 N 2.03, 1 O 2.15
Pd2 0.5000 0.5898 0.1303  2 N 2.03, 1 O 2.15
N1 0.0000 0.1717 0.6671  2 Al 1.88-1.90, 2 Pd 2.03
N2 0.0000 0.8283 0.1671  2 Al 1.88-1.90, 2 Pd 2.03
O1 0.5000 0.2229 0.1243  2 Al 1.76
O2 0.5000 0.7771 0.6243  2 Al 1.76

Results
Crystal system = orthorhombic
Symmetry = No. 26

Model C:
Below is an optimized crystal structure of AlPdNO, with properties calculated at the PBE level.

Lattice parameters (Å, degrees): 5.2733 7.3857 5.0235 90.00 90.00 90.00
Last column: nearest neighbours and their distance in Å.
Fractional positions:
Al1 0.0648 0.1120 0.0000  3 O 1.80-1.83, 1 N 1.82
Al2 0.4352 0.1120 0.5000  3 O 1.80-1.83, 1 N 1.82
Al3 0.5648 0.8880 0.0000  3 O 1.80-1.83, 1 N 1.82
Al4 0.9352 0.8880 0.5000  3 O 1.80-1.83, 1 N 1.82
Pd1 0.0723 0.5461 0.9108  3 N 2.00-2.12
Pd2 0.4277 0.5461 0.4108  3 N 2.00-2.12
Pd3 0.5723 0.4539 0.9108  3 N 2.00-2.12
Pd4 0.9277 0.4539 0.4108  3 N 2.00-2.12
N1 0.1007 0.6763 0.5620  1 Al 1.82, 2 Pd 2.00-2.03
N2 0.3993 0.6763 0.0620  1 Al 1.82, 2 Pd 2.00-2.03
N3 0.6007 0.3237 0.5620  1 Al 1.82, 2 Pd 2.00-2.03
N4 0.8993 0.3237 0.0620  1 Al 1.82, 2 Pd 2.00-2.03
O1 0.1365 0.0575 0.6589  3 Al 1.80-1.83
O2 0.3635 0.0575 0.1589  3 Al 1.80-1.83
O3 0.6365 0.9425 0.6589  3 Al 1.80-1.83
O4 0.8635 0.9425 0.1589  3 Al 1.80-1.83

Results
Crystal system = orthorhombic
Symmetry = No. 29

Model D:
Below is an optimized crystal structure of AlPdNO, with properties calculated at the PBE level.

Lattice parameters (Å, degrees): 3.9337 3.9337 5.9359 90.00 90.00 90.00
Last column: nearest neighbours and their distance in Å.
Fractional positions:
Al1 0.2500 0.7500 0.0000  4 N 1.97
Al2 0.7500 0.2500 0.0000  4 N 1.97
Pd1 0.2500 0.2500 0.3889  4 O 2.07
Pd2 0.7500 0.7500 0.6111  4 O 2.07
N1 0.2500 0.2500 0.9742  4 Al 1.97
N2 0.7500 0.7500 0.0258  4 Al 1.97
O1 0.2500 0.7500 0.5000  4 Pd 2.07
O2 0.7500 0.2500 0.5000  4 Pd 2.07

Results
Crystal system = tetragonal
Symmetry = No. 129

Computed stability ranking, most favorable first: model C, model A, model B, model D